Here is crystalline Pa2Co3Ni at its relaxed geometry from the Alexandria database. Energies are from PBE. Values from VASP.

```
&SYSTEM
  ibrav = 0, nat = 12, ntyp = 3
/
ATOMIC_SPECIES
Pa 231.04 Pa.upf
Co 58.93 Co.upf
Ni 58.69 Ni.upf
ATOMIC_POSITIONS crystal
Pa 0.3333 0.6667 0.0612
Pa 0.3333 0.6667 0.4388
Pa 0.6667 0.3333 0.5612
Pa 0.6667 0.3333 0.9388
Co 0.1641 0.3282 0.7500
Co 0.1641 0.8359 0.7500
Co 0.3282 0.1641 0.2500
Co 0.6718 0.8359 0.7500
Co 0.8359 0.1641 0.2500
Co 0.8359 0.6718 0.2500
Ni 0.0000 0.0000 0.0000
Ni 0.0000 0.0000 0.5000
CELL_PARAMETERS angstrom
5.0049 0.0000 0.0000
-2.5024 4.3344 0.0000
0.0000 0.0000 8.1241
```

E_form ... -0.333 eV per atom
DFT total energy ... -48.09 eV per formula unit